(1)
First-principles (GGA-PBE) data for LiNdLuRu after structural relaxation, as listed in Alexandria via LeMat-Bulk.

a = 4.9424 Å, b = 4.9424 Å, c = 4.9424 Å
α = 60.00°, β = 60.00°, γ = 60.00°
With the nearest neighbours (Å) after each atom.
Element x y z (fractional)
Ru 0.7500 0.7500 0.7500  4 Nd 3.03, 4 Lu 3.03
Lu 0.5000 0.5000 0.5000  4 Ru 3.03, 4 Li 3.03
Nd 0.0000 0.0000 0.0000  4 Li 3.03, 4 Ru 3.03
Li 0.2500 0.2500 0.2500  4 Lu 3.03, 4 Nd 3.03

## Properties
Formation energy from the elements   -0.232 eV/atom

---

(2)
First-principles (GGA-PBE) data for LiNdLuSi after structural relaxation, as listed in Alexandria via LeMat-Bulk.

a = 5.0031 Å, b = 5.0031 Å, c = 5.0031 Å
α = 60.00°, β = 60.00°, γ = 60.00°
With the nearest neighbours (Å) after each atom.
Element x y z (fractional)
Si 0.7500 0.7500 0.7500  4 Nd 3.06, 4 Lu 3.06
Lu 0.0000 0.0000 0.0000  4 Si 3.06, 4 Li 3.06
Nd 0.5000 0.5000 0.5000  4 Li 3.06, 4 Si 3.06
Li 0.2500 0.2500 0.2500  4 Lu 3.06, 4 Nd 3.06

## Properties
Formation energy (no corrections)   -0.33 eV/atom

---

(3)
First-principles (GGA-PBE) data for LiNdSmLu after structural relaxation, as listed in Alexandria via LeMat-Bulk.

a = 5.5304 Å, b = 5.5304 Å, c = 5.5304 Å
α = 60.00°, β = 60.00°, γ = 60.00°
With the nearest neighbours (Å) after each atom.
Element x y z (fractional)
Lu 0.5000 0.5000 0.5000  4 Sm 3.39, 4 Nd 3.39
Nd 0.2500 0.2500 0.2500  4 Lu 3.39, 4 Li 3.39
Sm 0.7500 0.7500 0.7500  4 Li 3.39, 4 Lu 3.39
Li 0.0000 0.0000 0.0000  4 Nd 3.39, 4 Sm 3.39

## Properties
Formation energy from the elements   0.142 eV/atom

---

(4)
First-principles (GGA-PBE) data for LiNdLuSn after structural relaxation, as listed in Alexandria via LeMat-Bulk.

a = 5.2506 Å, b = 5.2506 Å, c = 5.2506 Å
α = 60.00°, β = 60.00°, γ = 60.00°
With the nearest neighbours (Å) after each atom.
Element x y z (fractional)
Lu 0.0000 0.0000 0.0000  4 Sn 3.22, 4 Li 3.22
Nd 0.5000 0.5000 0.5000  4 Sn 3.22, 4 Li 3.22
Sn 0.7500 0.7500 0.7500  4 Lu 3.22, 4 Nd 3.22
Li 0.2500 0.2500 0.2500  4 Nd 3.22, 4 Lu 3.22

## Properties
Formation energy from the elements   -0.388 eV/atom